Entry 1:
A plane-wave DFT calculation with GGA-PBE was carried out for a relaxed structure of Tl2AgSnCl6.

The structure in POSCAR format:
```
Tl2AgSnCl6
1.0
7.507 0.000 0.000
3.753 6.501 0.000
3.753 2.167 12.411
Cl Tl Ag Sn
12 4 2 2
Cartesian
5.516 5.483 1.446
9.497 3.185 10.965
7.507 6.584 4.521
5.558 5.459 7.890
9.455 3.209 4.521
7.507 6.632 10.965
9.455 5.459 7.890
9.497 5.483 1.446
7.507 2.084 7.890
5.558 3.209 4.521
7.507 2.036 1.446
5.516 3.185 10.965
3.753 2.167 2.116
11.260 6.501 5.423
3.753 2.167 6.988
11.260 6.501 10.295
7.507 4.334 2.917
7.507 4.334 9.494
0.000 0.000 0.000
7.507 4.334 6.205
```

- Density of states at the Fermi level: 0.59 states/eV/f.u.



Entry 2:
A plane-wave DFT calculation with GGA-PBE was carried out for a relaxed structure of TmAgSnCl6.

The structure in POSCAR format:
```
TmAgSnCl6
1.0
-6.841 -0.275 -0.241
3.266 -1.082 5.924
-0.585 12.278 2.564
Cl Ag Tm Sn
12 2 2 2
Cartesian
-2.446 1.479 0.355
1.533 9.960 6.154
-1.655 10.205 4.254
-1.545 4.081 2.860
-4.828 3.575 4.533
-5.693 0.961 2.094
-2.505 0.716 3.994
-2.615 6.840 5.388
-1.714 9.442 7.893
-4.692 4.341 0.896
0.532 6.580 7.352
0.668 7.346 3.715
-0.249 2.256 4.511
-3.911 8.664 3.738
-0.542 8.395 5.793
-3.618 2.525 2.456
-0.292 6.139 1.282
0.000 0.000 0.000
```

- Density of states at the Fermi level: 0.00 states/eV/f.u.



Entry 3:
A plane-wave DFT calculation with GGA-PBE was carried out for a relaxed structure of VAg2SnCl.

The structure in POSCAR format:
```
VAg2SnCl
1.0
5.066 0.000 0.000
0.000 4.298 0.000
0.000 0.000 5.066
Ag Sn V Cl
2 1 1 1
Cartesian
2.533 0.000 0.000
0.000 0.000 2.533
2.533 2.149 2.533
0.000 2.149 0.000
0.000 0.000 0.000
```

- Density of states at the Fermi level: 5.56 states/eV/f.u.



Entry 4:
A plane-wave DFT calculation with GGA-PBE was carried out for a relaxed structure of YAg2SnCl8.

The structure in POSCAR format:
```
YAg2SnCl8
1.0
-3.592 0.805 -5.498
-2.951 -5.388 1.933
-5.330 4.399 4.127
Cl Y Ag Sn
8 1 2 1
Cartesian
-7.239 -1.085 -0.343
-7.309 3.127 2.927
-4.564 -3.311 -2.365
-4.904 0.670 -3.164
-6.969 -0.854 3.726
-4.634 0.901 0.905
-4.276 -3.076 1.641
-7.597 2.892 -1.079
0.000 0.000 0.000
-4.626 -1.174 -0.734
-7.247 0.989 1.295
-2.665 2.200 2.063
```

- Density of states at the Fermi level: 2.77 states/eV/f.u.



Entry 5:
A plane-wave DFT calculation with GGA-PBE was carried out for a relaxed structure of Sr2AgCl.

The structure in POSCAR format:
```
Sr2AgCl
1.0
0.000 3.989 3.989
3.989 0.000 3.989
3.989 3.989 0.000
Ag Sr Cl
1 2 1
Cartesian
3.989 3.989 3.989
1.994 1.994 1.994
5.983 5.983 5.983
0.000 0.000 0.000
```

- Density of states at the Fermi level: 2.62 states/eV/f.u.



Entry 6:
A plane-wave DFT calculation with GGA-PBE was carried out for a relaxed structure of Sr2AgCl.

The structure in POSCAR format:
```
Sr2AgCl
1.0
-7.133 -1.163 3.750
0.293 -7.913 -1.896
-1.329 -5.353 4.652
Sr Ag Cl
4 2 2
Cartesian
-6.986 -11.828 5.142
-3.557 -7.547 4.154
-4.638 -3.035 3.209
-1.156 -6.448 0.508
0.000 0.000 0.000
-5.941 -5.527 4.665
-3.420 -4.538 0.927
-2.228 -8.902 1.841
```

- Density of states at the Fermi level: 1.69 states/eV/f.u.



Entry 7:
A plane-wave DFT calculation with GGA-PBE was carried out for a relaxed structure of Sr4Ag3Cl12.

The structure in POSCAR format:
```
Sr4Ag3Cl12
1.0
-4.112 -6.651 4.930
8.534 -2.703 -2.307
0.475 7.730 5.047
Cl Sr Ag
12 4 3
Cartesian
2.972 -2.191 1.320
-1.701 -0.863 7.175
2.582 -3.444 5.081
0.383 3.829 5.435
2.315 1.820 2.589
6.597 -0.761 0.496
5.457 3.574 3.545
4.514 -5.454 2.235
-0.560 -5.198 4.126
-0.432 -1.239 3.695
1.925 0.567 6.350
5.329 -0.385 3.976
2.448 -0.812 3.835
-2.056 -3.325 2.465
0.238 3.865 2.523
4.267 -1.352 -1.153
-1.819 0.540 4.989
2.211 -4.677 1.312
4.504 2.513 1.370
```

- Density of states at the Fermi level: 13.63 states/eV/f.u.



Entry 8:
A plane-wave DFT calculation with GGA-PBE was carried out for a relaxed structure of Sr3Ag2Cl8.

The structure in POSCAR format:
```
Sr3Ag2Cl8
1.0
2.596 -3.352 -6.417
6.250 -4.267 4.758
-7.624 -1.161 0.577
Cl Sr Ag
8 3 2
Cartesian
2.381 -4.375 -2.917
1.678 -7.176 -0.242
5.554 -6.541 -0.502
-0.456 -1.604 -0.839
-1.160 -4.405 1.835
-1.417 -4.978 -2.603
2.638 -3.802 1.522
-4.332 -2.239 -0.579
1.298 -1.676 -3.208
4.633 -3.163 3.527
1.617 -1.104 1.231
-2.272 -3.807 -0.430
3.494 -4.972 -0.652
```

- Density of states at the Fermi level: 0.00 states/eV/f.u.



Entry 9:
A plane-wave DFT calculation with GGA-PBE was carried out for a relaxed structure of SrAgCl.

The structure in POSCAR format:
```
SrAgCl
1.0
7.262 -0.007 0.008
6.306 3.603 0.009
0.957 0.253 3.602
Sr Ag Cl
1 1 1
Cartesian
9.540 2.528 1.161
1.320 0.350 3.498
4.621 1.224 2.560
```

- Density of states at the Fermi level: 0.24 states/eV/f.u.



Entry 10:
A plane-wave DFT calculation with GGA-PBE was carried out for a relaxed structure of SrAgCl.

The structure in POSCAR format:
```
SrAgCl
1.0
-2.137 -3.730 -2.768
2.167 -1.493 -4.384
2.263 -4.575 -0.305
Cl Ag Sr
1 1 1
Cartesian
1.720 -7.348 -5.593
1.146 -4.899 -3.728
0.000 0.000 0.000
```



Entry 11:
A plane-wave DFT calculation with GGA-PBE was carried out for a relaxed structure of SrAgCl3.

The structure in POSCAR format:
```
SrAgCl3
1.0
-6.772 -2.055 1.844
2.814 -4.280 5.564
-2.709 7.231 6.933
Sr Cl Ag
4 12 4
Cartesian
-2.542 0.513 10.636
-1.412 3.988 7.598
-5.255 -3.093 6.743
-4.125 0.382 3.705
0.368 -2.402 7.264
-3.603 -1.931 9.091
-7.035 3.298 7.077
-5.242 1.508 9.933
-2.731 -4.566 6.783
-3.064 2.826 5.250
-1.425 -0.612 4.407
-2.143 3.582 10.505
-1.359 1.080 8.024
-3.936 5.461 7.558
-5.308 -0.185 6.317
-4.524 -2.686 3.835
-5.780 -1.329 10.622
-0.887 2.225 3.719
-1.593 -3.075 5.139
-5.074 3.971 9.202
```

- Density of states at the Fermi level: 0.00 states/eV/f.u.



Entry 12:
A plane-wave DFT calculation with GGA-PBE was carried out for a relaxed structure of SrAgCl.

The structure in POSCAR format:
```
SrAgCl
1.0
4.411 0.000 0.000
-2.205 3.820 0.000
0.000 0.000 6.533
Sr Ag Cl
1 1 1
Cartesian
2.205 1.273 4.153
0.000 0.000 6.183
0.000 2.546 2.730
```

- Density of states at the Fermi level: 0.00 states/eV/f.u.



Calculated uncorrected energy (eV per cell), listed in the same order as above: -62.6 -70.6 -17.3 -45.1 -11.2 -22.9 -69.3 -49.3 -9.4 -8.7 -72.9 -9.5